Compound: BaRh2Br
Source: the Alexandria database
Functional: PBE-GGA
Structure: optimized geometry

Properties
E above lowest polymorph = 16.2 kJ/mol of atoms

The structure in POSCAR format:
```
BaRh2Br
1.0
4.7088 0.0000 0.0000
0.0000 4.5281 0.0000
-0.3857 0.0000 4.9335
Ba Rh Br
1 2 1
direct
0.0000 0.0000 0.0000
0.4338 0.5000 0.7518
0.5662 0.5000 0.2482
0.5000 0.0000 0.5000
```

Compound: Ba5RhBr
Source: the Alexandria database
Functional: PBE-GGA
Structure: optimized geometry

Properties
final energy = -3.1653 eV/atom

The structure in POSCAR format:
```
Ba5RhBr
1.0
4.3801 -7.5301 0.0000
4.3801 7.5301 0.0000
-3.2995 0.0000 11.0790
Ba Rh Br
10 2 2
direct
0.0132 0.3379 0.6315
0.0866 0.9134 0.7500
0.2233 0.4182 0.0312
0.3379 0.0132 0.1315
0.4182 0.2233 0.5312
0.5818 0.7767 0.4688
0.6621 0.9868 0.8685
0.7767 0.5818 0.9688
0.9134 0.0866 0.2500
0.9868 0.6621 0.3685
0.0000 0.0000 0.0000
0.0000 0.0000 0.5000
0.4560 0.5440 0.7500
0.5440 0.4560 0.2500
```

Compound: BaRhBr
Source: the Alexandria database
Functional: PBE-GGA
Structure: optimized geometry

Properties
E above lowest polymorph = 66.7 kJ/mol of atoms

The structure in POSCAR format:
```
BaRhBr
1.0
5.4328 0.0000 0.0000
-2.7164 4.7050 0.0000
0.0000 0.0000 9.4344
Ba Rh Br
2 2 2
direct
0.3333 0.6667 0.2500
0.6667 0.3333 0.7500
0.0000 0.0000 0.0000
0.0000 0.0000 0.5000
0.0000 0.0000 0.2500
0.0000 0.0000 0.7500
```

Compound: Ba4Rh2Br
Source: the Alexandria database
Functional: PBE-GGA
Structure: optimized geometry

Properties
final energy = -3.9789 eV/atom

The structure in POSCAR format:
```
Ba4Rh2Br
1.0
-4.9641 4.9641 5.0176
4.9641 -4.9641 5.0176
4.9641 4.9641 -5.0176
Ba Rh Br
8 4 2
direct
0.0232 0.4004 0.2562
0.1442 0.7670 0.7438
0.1504 0.2732 0.7562
0.2330 0.9768 0.3772
0.5170 0.3942 0.2438
0.5996 0.8558 0.6228
0.6058 0.8496 0.1228
0.7268 0.4830 0.8772
0.2618 0.6250 0.1368
0.3750 0.5118 0.6368
0.4882 0.1250 0.8632
0.8750 0.7382 0.3632
0.0000 0.0000 0.0000
0.7500 0.2500 0.5000
```

Compound: BaRh2Br
Source: the Alexandria database
Functional: PBE-GGA
Structure: optimized geometry

Properties
E above lowest polymorph = 0.0 kJ/mol of atoms

The structure in POSCAR format:
```
BaRh2Br
1.0
4.4297 -1.9991 0.0000
4.4297 1.9991 0.0000
-2.5037 0.0000 5.4917
Ba Rh Br
1 2 1
direct
0.0000 0.0000 0.0000
0.2241 0.2241 0.6055
0.5381 0.5381 0.5895
0.8204 0.8204 0.3942
```

Compound: BaRh2Br
Source: the Alexandria database
Functional: PBE-GGA
Structure: optimized geometry

Properties
E above lowest polymorph = 20.1 kJ/mol of atoms

The structure in POSCAR format:
```
BaRh2Br
1.0
5.0264 -2.2891 0.0000
5.0264 2.2891 0.0000
-0.8156 0.0000 4.5698
Ba Rh Br
1 2 1
direct
0.0000 0.0000 0.0000
0.2542 0.2542 0.6054
0.7458 0.7458 0.3946
0.5000 0.5000 0.5000
```

Compound: BaRhBr
Source: the Alexandria database
Functional: PBE-GGA
Structure: optimized geometry

Properties
E above lowest polymorph = 21.5 kJ/mol of atoms

The structure in POSCAR format:
```
BaRhBr
1.0
5.7397 -2.5418 0.0000
5.7397 2.5418 0.0000
-0.8639 0.0000 6.2709
Ba Rh Br
2 2 2
direct
0.0000 0.0000 0.0000
0.2432 0.2432 0.5430
0.2778 0.2778 0.0553
0.7537 0.7537 0.1310
0.6224 0.6224 0.7844
0.9108 0.9108 0.4668
```

Compound: Ba3RhBr3
Source: the Alexandria database
Functional: PBE-GGA
Structure: optimized geometry

Properties
final energy = -4.0083 eV/atom

The structure in POSCAR format:
```
Ba3RhBr3
1.0
8.3208 -4.4939 0.0000
8.3208 4.4939 0.0000
-5.6060 0.0000 7.8689
Ba Rh Br
6 2 6
direct
0.0000 0.5000 0.2805
0.0000 0.5000 0.7195
0.0172 0.0172 0.2671
0.5000 0.0000 0.2805
0.5000 0.0000 0.7195
0.9828 0.9828 0.7329
0.2303 0.2303 0.4800
0.7697 0.7697 0.5200
0.2393 0.2393 0.9893
0.2483 0.7517 0.0000
0.2480 0.7520 0.5000
0.7517 0.2483 0.0000
0.7520 0.2480 0.5000
0.7607 0.7607 0.0107
```

Compound: Ba6Rh3Br
Source: the Alexandria database
Functional: PBE-GGA
Structure: optimized geometry

Properties
final energy = -3.9552 eV/atom

The structure in POSCAR format:
```
Ba6Rh3Br
1.0
13.1810 0.0000 0.0000
0.0000 4.5946 0.0000
-4.2654 0.0000 12.6651
Ba Rh Br
12 6 2
direct
0.0445 0.2500 0.3911
0.0922 0.2500 0.9323
0.2259 0.7500 0.2541
0.2648 0.2500 0.7001
0.4022 0.7500 0.5380
0.4407 0.2500 0.1445
0.5593 0.7500 0.8555
0.5978 0.2500 0.4620
0.7352 0.7500 0.2999
0.7741 0.2500 0.7459
0.9078 0.7500 0.0677
0.9555 0.7500 0.6089
0.0833 0.2500 0.1556
0.1739 0.7500 0.5335
0.4869 0.7500 0.3067
0.5131 0.2500 0.6933
0.8261 0.2500 0.4665
0.9167 0.7500 0.8444
0.3312 0.7500 0.9291
0.6688 0.2500 0.0709
```

Compound: BaRh2Br
Source: the Alexandria database
Functional: PBE-GGA
Structure: optimized geometry

Properties
E above lowest polymorph = 3.2 kJ/mol of atoms

The structure in POSCAR format:
```
BaRh2Br
1.0
3.5606 0.0000 0.0000
0.0000 3.5680 0.0000
-1.6655 0.0000 7.8593
Ba Rh Br
1 2 1
direct
0.0000 0.0000 0.0000
0.3622 0.5000 0.6996
0.8204 0.0000 0.6055
0.6213 0.5000 0.2592
```

Compound: BaRhBr
Source: the Alexandria database
Functional: PBE-GGA
Structure: optimized geometry

Properties
E above lowest polymorph = 44.5 kJ/mol of atoms

The structure in POSCAR format:
```
BaRhBr
1.0
8.7782 0.0000 0.0000
0.0000 9.6278 0.0000
0.0000 0.0000 4.3313
Ba Rh Br
4 4 4
direct
0.2505 0.2500 0.2501
0.2495 0.7500 0.7501
0.7505 0.2500 0.2499
0.7495 0.7500 0.7499
0.0007 0.2500 0.7384
0.4993 0.7500 0.2384
0.5007 0.2500 0.7616
0.9993 0.7500 0.2616
0.0000 0.0000 0.5000
0.0000 0.5000 0.5000
0.5000 0.0000 0.0000
0.5000 0.5000 0.0000
```

Compound: Ba8Rh3Br
Source: the Alexandria database
Functional: PBE-GGA
Structure: optimized geometry

Properties
final energy = -3.6654 eV/atom

The structure in POSCAR format:
```
Ba8Rh3Br
1.0
7.8226 -4.6659 0.0000
7.8226 4.6659 0.0000
-5.0676 0.0000 7.5885
Ba Rh Br
8 3 1
direct
0.2186 0.7555 0.7458
0.2447 0.2447 0.2564
0.2446 0.2446 0.7173
0.2445 0.7814 0.2542
0.7555 0.2186 0.7458
0.7554 0.7554 0.2827
0.7553 0.7553 0.7436
0.7814 0.2445 0.2542
0.0000 0.0000 0.0000
0.0000 0.5000 0.5000
0.5000 0.0000 0.5000
0.5000 0.5000 0.0000
```